[1]
Here is an optimized crystal structure of Zr3HgC from Alexandria. Energies are from GGA-PBE.

Cell lengths 4.886, 4.886, 22.457 Å; angles 90.00, 90.00, 90.00 degrees
Space group I-4m2 (No. 119)
Unique sites:
Zr (0.000, 0.000, 0.191) x4
Zr (0.000, 0.240, 0.628) x8
Hg (0.000, 0.000, 0.500) x2
Hg (0.000, 0.500, 0.750) x2
C (0.000, 0.500, 0.150) x4

Calculated values
energy relative to the elements: 5.3 eV per formula unit
total DFT energy (no corrections): -5.978 eV per atom



[2]
Here is an optimized crystal structure of NdPaPt2 from Alexandria. Energies are from GGA-PBE.

Cell lengths 4.0160, 4.0160, 21.6509 Å; angles 90.00, 90.00, 120.00 degrees
Space group R3m (No. 160, hexagonal axes)
Unique sites:
Nd (0.0000, 0.0000, 0.0000) x3
Pa (0.0000, 0.0000, 0.8286) x3
Pt (0.0000, 0.0000, 0.2387) x3
Pt (0.0000, 0.0000, 0.4208) x3

Calculated values
energy relative to the elements: -3.8 eV per formula unit
total DFT energy (no corrections): -7.545 eV per atom



[3]
Here is an optimized crystal structure of La2Nd3Dy8 from Alexandria. Energies are from GGA-PBE.

Cell lengths 21.016, 7.722, 5.601 Å; angles 90.00, 90.02, 90.00 degrees
Space group C2/m (No. 12)
Unique sites:
La (0.241, 0.000, 0.499) x4
Nd (0.000, 0.000, 0.500) x2
Nd (0.000, 0.294, 0.000) x4
Dy (0.107, 0.289, 0.500) x8
Dy (0.128, 0.000, 0.000) x4
Dy (0.161, 0.500, 0.001) x4

Calculated values
energy relative to the elements: 3.2 eV per formula unit
total DFT energy (no corrections): -4.442 eV per atom



[4]
Here is an optimized crystal structure of SrLa2Mn from Alexandria. Energies are from GGA-PBE.

Cell lengths 5.028, 5.028, 10.548 Å; angles 90.00, 90.00, 90.00 degrees
Space group I-4m2 (No. 119)
Unique sites:
Sr (0.000, 0.000, 0.000) x2
La (0.000, 0.000, 0.500) x2
La (0.000, 0.500, 0.750) x2
Mn (0.000, 0.500, 0.250) x2

Calculated values
energy relative to the elements: 1.7 eV per formula unit
total DFT energy (no corrections): -4.740 eV per atom



[5]
Here is an optimized crystal structure of Mg2CuB2Pd5 from Alexandria. Energies are from GGA-PBE.

Cell lengths 9.299, 9.299, 3.134 Å; angles 90.00, 90.00, 90.00 degrees
Space group P4/mbm (No. 127)
Unique sites:
Mg (0.175, 0.325, 0.000) x4
Cu (0.000, 0.000, 0.000) x2
B (0.127, 0.627, 0.000) x4
Pd (0.000, 0.500, 0.500) x2
Pd (0.073, 0.785, 0.500) x8

Calculated values
energy relative to the elements: -4.1 eV per formula unit
total DFT energy (no corrections): -5.067 eV per atom



[6]
Here is an optimized crystal structure of HfV2Pb from Alexandria. Energies are from GGA-PBE.

Cell lengths 7.472, 7.472, 5.708 Å; angles 90.00, 90.00, 90.00 degrees
Space group I-42d (No. 122)
Unique sites:
Hf (0.000, 0.000, 0.000) x4
V (0.250, 0.250, 0.125) x8
Pb (0.000, 0.000, 0.500) x4

Calculated values
energy relative to the elements: 3.5 eV per formula unit
total DFT energy (no corrections): -7.095 eV per atom